Entry 1:
In6Sb2Ir GGA-PBE relaxed; calculated total energy = -3.681 eV per atom; total moment = 0.01 μB/f.u.
1.0
6.910 -2.145 0.000
6.910 2.145 0.000
-0.954 0.000 8.488
In Sb Ir
6 2 1
Direct
0.022 0.022 0.315
0.122 0.130 0.970
0.316 0.322 0.373
0.678 0.684 0.627
0.870 0.878 0.030
0.978 0.978 0.685
0.309 0.315 0.777
0.685 0.691 0.223
0.500 0.500 0.500


Entry 2:
TmZn2 GGA-PBE relaxed; calculated total energy = -2.430 eV per atom; total moment = 0.00 μB/f.u.
1.0
4.729 0.000 0.000
0.000 9.846 0.000
0.000 0.000 5.040
Tm Zn
4 8
Direct
0.250 0.084 0.134
0.250 0.416 0.134
0.750 0.584 0.866
0.750 0.916 0.866
0.250 0.250 0.638
0.250 0.616 0.558
0.250 0.750 0.074
0.250 0.884 0.558
0.750 0.116 0.442
0.750 0.250 0.926
0.750 0.384 0.442
0.750 0.750 0.362


Entry 3:
Ac2TlPd2 GGA-PBE relaxed; calculated total energy = -4.944 eV per atom; total moment = 0.00 μB/f.u.
1.0
8.216 0.000 0.000
0.000 8.216 0.000
0.000 0.000 4.080
Ac Tl Pd
4 2 4
Direct
0.176 0.324 0.000
0.324 0.824 0.000
0.676 0.176 0.000
0.824 0.676 0.000
0.000 0.000 0.500
0.500 0.500 0.500
0.124 0.624 0.500
0.376 0.124 0.500
0.624 0.876 0.500
0.876 0.376 0.500